# 1
Material: BaSb2Cl
Method: DFT, GGA-PBE
State: relaxed

Summary:
DOS at the Fermi energy: 15.304 states/eV/cell
E above lowest polymorph: 4.09 eV per formula unit
final energy: -3.003 eV/atom

Cell: 3.7179 3.7179 31.1322 Å, 90.00 90.00 120.00°
Space group R-3m (No. 166, hexagonal axes)
Inequivalent atoms, fractional coordinates:
Ba: 0.0000 0.0000 0.0000
Sb: 0.0000 0.0000 0.2406
Cl: 0.0000 0.0000 0.5000



# 2
Material: FeCo2Cu
Method: DFT, GGA-PBE
State: relaxed

Summary:
DOS at the Fermi energy: 3.319 states/eV/cell
energy relative to the elements: 25.6 kJ/mol of formula units
final energy: -6.626 eV/atom

Cell: 3.5972 3.5972 3.5187 Å, 90.00 90.00 90.00°
Space group P4/mmm (No. 123)
Inequivalent atoms, fractional coordinates:
Fe: 0.0000 0.0000 0.0000
Co: 0.0000 0.5000 0.5000
Cu: 0.5000 0.5000 0.0000